[1]
Here is a relaxed structure of CeYSe2N from the Alexandria database. Energies are from PBE.

Properties
The value obtained for the energy is -7.26 eV per atom. The volume comes out at 234.6 Å³ per cell. Its crystal system is tetragonal. Its uncorrected formation energy is -1.72 eV per atom.

abc: 4.012 4.012 14.580
angles: 90.00 90.00 90.00
Element x y z (fractional)
1 Ce 0.500 0.000 0.577
2 Ce 0.000 0.500 0.423
3 Y 0.500 0.000 0.126
4 Y 0.000 0.500 0.874
5 Se 0.000 0.500 0.693
6 Se 0.000 0.500 0.089
7 Se 0.500 0.000 0.911
8 Se 0.500 0.000 0.307
9 N 0.000 0.000 0.500
10 N 0.500 0.500 0.500

=====

[2]
Here is a relaxed structure of Na2FeCl6 from the Alexandria database. Energies are from PBE.

Properties
The value obtained for the energy is -3.53 eV per atom. The volume comes out at 552.1 Å³ per cell. Its crystal system is monoclinic. The calculation puts the distance to the lowest polymorph of the same formula at 0.0 meV/atom. Its uncorrected formation energy is -1.07 eV per atom.

abc: 5.549 10.564 10.564
angles: 115.26 95.18 95.18
Each line ends with the local moment (μB).
Element x y z (fractional)
1 Na 0.546 0.541 0.706  0.00
2 Na 0.954 0.294 0.459  0.00
3 Na 0.454 0.459 0.294  0.00
4 Na 0.046 0.706 0.541  0.00
5 Fe 0.250 0.179 0.821  3.31
6 Fe 0.750 0.821 0.179  3.31
7 Cl 0.551 0.704 0.555  -0.11
8 Cl 0.949 0.445 0.296  -0.11
9 Cl 0.449 0.296 0.445  -0.11
10 Cl 0.051 0.555 0.704  -0.11
11 Cl 0.034 0.847 0.346  0.20
12 Cl 0.466 0.654 0.153  0.20
13 Cl 0.966 0.153 0.654  0.20
14 Cl 0.534 0.346 0.847  0.20
15 Cl 0.855 0.765 0.973  0.08
16 Cl 0.645 0.027 0.235  0.08
17 Cl 0.145 0.235 0.027  0.08
18 Cl 0.355 0.973 0.765  0.08

=====

[3]
Here is a relaxed structure of VCr2B from the Alexandria database. Energies are from PBE.

Properties
As for the formation energy: -0.05 eV/atom. The value obtained for the energy is -8.82 eV per atom. The volume comes out at 86.4 Å³ per cell. Its crystal system is orthorhombic.

abc: 2.844 3.568 8.634
angles: 90.00 99.48 90.00
Element x y z (fractional)
1 V 0.381 0.250 0.763
2 V 0.619 0.750 0.237
3 Cr 0.753 0.250 0.507
4 Cr 0.247 0.750 0.493
5 Cr 0.032 0.250 0.064
6 Cr 0.968 0.750 0.936
7 B 0.159 0.250 0.317
8 B 0.841 0.750 0.683

=====

[4]
Here is a relaxed structure of Pm3GaCu2Ni9 from the Alexandria database. Energies are from PBE.

Properties
As for the formation energy: 0.12 eV/atom. The value obtained for the energy is -5.04 eV per atom. The volume comes out at 255.8 Å³ per cell. Its crystal system is trigonal.

abc: 6.901 6.901 6.202
angles: 90.00 90.00 120.00
Element x y z (fractional)
1 Pm 0.333 0.667 0.668
2 Pm 0.000 0.000 0.000
3 Pm 0.667 0.333 0.332
4 Ga 0.000 0.000 0.500
5 Cu 0.333 0.667 0.166
6 Cu 0.667 0.333 0.834
7 Ni 0.834 0.166 0.671
8 Ni 0.834 0.668 0.671
9 Ni 0.332 0.166 0.671
10 Ni 0.668 0.834 0.329
11 Ni 0.166 0.332 0.329
12 Ni 0.166 0.834 0.329
13 Ni 0.500 0.000 0.000
14 Ni 0.000 0.500 0.000
15 Ni 0.500 0.500 0.000

=====

[5]
Here is a relaxed structure of DyErScMn from the Alexandria database. Energies are from PBE.

Properties
As for the formation energy: 0.22 eV/atom. The value obtained for the energy is -5.94 eV per atom. The volume comes out at 98.0 Å³ per cell. Its crystal system is cubic.

abc: 5.175 5.175 5.175
angles: 60.00 60.00 60.00
Each line ends with the local moment (μB).
Element x y z (fractional)
1 Sc 0.000 0.000 0.000  -0.36
2 Dy 0.250 0.250 0.250  -0.26
3 Mn 0.500 0.500 0.500  3.52
4 Er 0.750 0.750 0.750  -0.27

=====

[6]
Here is a relaxed structure of Sr2HfBi2 from the Alexandria database. Energies are from PBE.

Properties
As for the formation energy: -0.40 eV/atom. The value obtained for the energy is -4.61 eV per atom. The volume comes out at 329.5 Å³ per cell. Its crystal system is tetragonal. The calculation puts the distance to the lowest polymorph of the same formula at 0.0 meV/atom.

abc: 8.177 8.177 4.928
angles: 90.00 90.00 90.00
Element x y z (fractional)
1 Sr 0.158 0.658 0.500
2 Sr 0.658 0.842 0.500
3 Sr 0.842 0.342 0.500
4 Sr 0.342 0.158 0.500
5 Hf 0.000 0.000 0.000
6 Hf 0.500 0.500 0.000
7 Bi 0.344 0.844 0.000
8 Bi 0.844 0.656 0.000
9 Bi 0.656 0.156 0.000
10 Bi 0.156 0.344 0.000

=====

[7]
Here is a relaxed structure of Sc2TiZn2Ni5 from the Alexandria database. Energies are from PBE.

Properties
As for the formation energy: -0.35 eV/atom. The value obtained for the energy is -5.55 eV per atom. The volume comes out at 284.9 Å³ per cell. Its crystal system is tetragonal.

abc: 3.510 9.009 9.009
angles: 90.00 90.00 90.00
Element x y z (fractional)
1 Sc 0.000 0.673 0.173
2 Sc 0.000 0.327 0.827
3 Sc 0.000 0.173 0.327
4 Sc 0.000 0.827 0.673
5 Ti 0.000 0.000 0.000
6 Ti 0.000 0.500 0.500
7 Zn 0.000 0.124 0.624
8 Zn 0.000 0.876 0.376
9 Zn 0.000 0.624 0.876
10 Zn 0.000 0.376 0.124
11 Ni 0.500 0.200 0.061
12 Ni 0.500 0.800 0.939
13 Ni 0.500 0.061 0.800
14 Ni 0.500 0.700 0.439
15 Ni 0.500 0.939 0.200
16 Ni 0.500 0.300 0.561
17 Ni 0.500 0.561 0.700
18 Ni 0.500 0.439 0.300
19 Ni 0.500 0.500 0.000
20 Ni 0.500 0.000 0.500

=====

[8]
Here is a relaxed structure of Tb5Ho2Er12 from the Alexandria database. Energies are from PBE.

Properties
As for the formation energy: 0.13 eV/atom. The value obtained for the energy is -4.46 eV per atom. The volume comes out at 598.8 Å³ per cell. Its crystal system is monoclinic. The calculation puts the distance to the lowest polymorph of the same formula at 33.9 meV/atom.

abc: 9.177 8.947 8.501
angles: 91.85 90.00 120.86
Element x y z (fractional)
1 Tb 0.231 0.462 0.572
2 Tb 0.294 0.587 0.980
3 Tb 0.000 0.000 0.500
4 Tb 0.706 0.413 0.020
5 Tb 0.769 0.538 0.428
6 Ho 0.673 0.000 0.000
7 Ho 0.327 0.000 0.000
8 Er 0.926 0.852 0.127
9 Er 0.031 0.702 0.760
10 Er 0.672 0.702 0.760
11 Er 0.179 0.740 0.332
12 Er 0.561 0.740 0.332
13 Er 0.443 0.887 0.665
14 Er 0.557 0.113 0.335
15 Er 0.821 0.260 0.668
16 Er 0.439 0.260 0.668
17 Er 0.969 0.298 0.240
18 Er 0.328 0.298 0.240
19 Er 0.074 0.148 0.873

=====

[9]
Here is a relaxed structure of PrAgH8Ir2 from the Alexandria database. Energies are from PBE.

Properties
The value obtained for the energy is -4.43 eV per atom. The volume comes out at 116.7 Å³ per cell. Its crystal system is trigonal.

abc: 4.963 4.963 6.174
angles: 66.30 66.30 60.00
Element x y z (fractional)
1 Pr 0.500 0.500 0.500
2 Ag 0.000 0.000 0.000
3 H 0.190 0.190 0.430
4 H 0.586 0.359 0.146
5 H 0.810 0.810 0.570
6 H 0.909 0.586 0.146
7 H 0.091 0.414 0.854
8 H 0.359 0.909 0.146
9 H 0.641 0.091 0.854
10 H 0.414 0.641 0.854
11 Ir 0.291 0.291 0.126
12 Ir 0.709 0.709 0.874

=====

[10]
Here is a relaxed structure of GaSe2O6 from the Alexandria database. Energies are from PBE.

Properties
The value obtained for the energy is -5.27 eV per atom. The volume comes out at 137.1 Å³ per cell. Its crystal system is trigonal. The calculation puts the distance to the lowest polymorph of the same formula at 0.0 meV/atom. Its uncorrected formation energy is -0.85 eV per atom.

abc: 4.988 4.988 6.985
angles: 69.08 69.08 60.00
Each line ends with the local moment (μB).
Element x y z (fractional)
1 Ga 0.667 0.667 0.999  0.01
2 Se 0.237 0.237 0.288  0.05
3 Se 0.430 0.430 0.711  0.05
4 O 0.576 0.296 0.188  0.12
5 O 0.296 0.940 0.188  0.12
6 O 0.940 0.576 0.188  0.12
7 O 0.420 0.703 0.812  0.13
8 O 0.703 0.066 0.812  0.13
9 O 0.066 0.420 0.812  0.13

=====

[11]
Here is a relaxed structure of SrPa2CuP4 from the Alexandria database. Energies are from PBE.

Properties
As for the formation energy: -1.04 eV/atom. The value obtained for the energy is -6.85 eV per atom. The volume comes out at 363.5 Å³ per cell. Its crystal system is orthorhombic.

abc: 4.020 7.016 13.449
angles: 90.00 90.00 106.65
Element x y z (fractional)
1 Sr 0.109 0.218 0.750
2 Sr 0.891 0.782 0.250
3 Pa 0.370 0.739 0.559
4 Pa 0.630 0.261 0.059
5 Pa 0.630 0.261 0.441
6 Pa 0.370 0.739 0.941
7 Cu 0.842 0.685 0.750
8 Cu 0.158 0.315 0.250
9 P 0.264 0.527 0.114
10 P 0.736 0.473 0.614
11 P 0.736 0.473 0.886
12 P 0.264 0.527 0.386
13 P 0.000 0.000 0.500
14 P 0.000 0.000 0.000
15 P 0.436 0.872 0.750
16 P 0.564 0.128 0.250

=====

[12]
Here is a relaxed structure of Pm8SmGa6 from the Alexandria database. Energies are from PBE.

Properties
As for the formation energy: -0.36 eV/atom. The value obtained for the energy is -4.42 eV per atom. The volume comes out at 425.4 Å³ per cell. Its crystal system is trigonal.

abc: 8.837 8.837 8.099
angles: 56.94 56.94 60.00
Element x y z (fractional)
1 Pm 0.553 0.220 0.340
2 Pm 0.780 0.113 0.660
3 Pm 0.113 0.447 0.660
4 Pm 0.666 0.666 0.001
5 Pm 0.334 0.334 0.999
6 Pm 0.887 0.553 0.340
7 Pm 0.220 0.887 0.340
8 Pm 0.447 0.780 0.660
9 Sm 0.000 0.000 0.000
10 Ga 0.389 0.056 0.832
11 Ga 0.944 0.276 0.168
12 Ga 0.276 0.611 0.168
13 Ga 0.724 0.389 0.832
14 Ga 0.056 0.724 0.832
15 Ga 0.611 0.944 0.168